Entry 1:
12
Lattice="10.532 0.000 0.000 0.000 10.532 0.000 0.000 0.000 10.532" Properties=species:S:1:pos:R:3 comment="KMg PBE relaxed" n_ef_per_ev_fu=2.9 m_tot_mub_per_fu=0.00 dft_energy_ev_per_cell=-7.9 ef_ev_per_atom=0.68 sg="Pm-3n, No. 223" pbc="T T T"
K 0.000 2.633 5.266
K 0.000 7.899 5.266
K 2.633 5.266 0.000
K 5.266 0.000 2.633
K 5.266 0.000 7.899
K 7.899 5.266 0.000
Mg 0.000 5.266 2.633
Mg 0.000 5.266 7.899
Mg 2.633 0.000 5.266
Mg 5.266 2.633 0.000
Mg 5.266 7.899 0.000
Mg 7.899 0.000 5.266

---

Entry 2:
16
Lattice="11.045 0.000 0.000 0.000 7.767 0.000 0.000 0.000 5.522" Properties=species:S:1:pos:R:3 comment="AcTb3Tl4 PBE relaxed" n_ef_per_ev_fu=6.5 m_tot_mub_per_fu=0.00 dft_energy_ev_per_cell=-60.2 ef_ev_per_atom=-0.33 sg="Pmma, No. 51" pbc="T T T"
Ac 0.000 0.000 0.000
Ac 5.522 0.000 0.000
Tb 0.000 3.884 0.000
Tb 2.761 0.000 2.753
Tb 2.761 3.884 2.746
Tb 5.522 3.884 0.000
Tb 8.283 0.000 2.769
Tb 8.283 3.884 2.776
Tl 0.000 2.065 2.761
Tl 0.000 5.702 2.761
Tl 2.761 2.065 5.506
Tl 2.761 5.702 5.506
Tl 5.522 2.065 2.761
Tl 5.522 5.702 2.761
Tl 8.283 2.065 0.016
Tl 8.283 5.702 0.016

---

Entry 3:
5
Lattice="5.064 0.000 0.000 0.000 5.064 0.000 0.000 0.000 5.064" Properties=species:S:1:pos:R:3 comment="PmDy3C PBE relaxed" n_ef_per_ev_fu=5.1 m_tot_mub_per_fu=0.00 dft_energy_ev_per_cell=-27.8 ef_ev_per_atom=-0.01 sg="Pm-3m, No. 221" pbc="T T T"
Pm 0.000 0.000 0.000
Dy 0.000 2.532 2.532
Dy 2.532 0.000 2.532
Dy 2.532 2.532 0.000
C 2.532 2.532 2.532

---

Entry 4:
4
Lattice="2.208 1.275 5.059 -2.208 1.275 5.059 0.000 -2.549 5.059" Properties=species:S:1:pos:R:3 comment="SmGa2Ag PBE relaxed" n_ef_per_ev_fu=1.9 m_tot_mub_per_fu=0.00 dft_energy_ev_per_cell=-15.3 ef_ev_per_atom=-0.43 sg="R-3m, No. 166" pbc="T T T"
Sm 0.000 0.000 0.000
Ga 0.000 0.000 3.333
Ga 0.000 0.000 11.845
Ag 0.000 0.000 7.589

---

Entry 5:
4
Lattice="3.088 0.000 0.000 0.000 4.801 0.000 0.000 0.000 5.247" Properties=species:S:1:pos:R:3 comment="PAu2Br PBE relaxed" n_ef_per_ev_fu=1.2 m_tot_mub_per_fu=0.00 formation_energy_uncorrected_kcal_per_mol_atoms=14.01 dft_energy_ev_per_cell=-11.2 sg="Pmmm, No. 47" e_above_lowest_polymorph_ev_per_atom=0.5225 pbc="T T T"
P 0.000 0.000 0.000
Au 0.000 2.401 2.624
Au 1.544 0.000 2.624
Br 1.544 2.401 0.000

---

Entry 6:
18
Lattice="1.811 -7.029 0.000 1.811 7.029 0.000 0.000 0.000 12.075" Properties=species:S:1:pos:R:3 comment="Ba2HoAgO5 PBE relaxed" n_ef_per_ev_fu=1.6 m_tot_mub_per_fu=0.00 formation_energy_uncorrected_kcal_per_mol_atoms=-47.86 dft_energy_ev_per_cell=-109.5 sg="Cmc2_1, No. 36" pbc="T T T"
Ba 1.811 5.730 6.037
Ba 1.811 4.919 1.440
Ba 1.811 -4.919 7.478
Ba 1.811 -5.730 0.000
Ho 1.811 4.104 10.158
Ho 1.811 -4.104 4.120
Ag 1.811 0.310 3.219
Ag 1.811 -0.310 9.256
O 1.811 6.186 10.660
O 1.811 3.206 5.508
O 1.811 2.375 2.641
O 1.811 1.769 9.732
O 1.811 0.234 7.242
O 1.811 -0.234 1.204
O 1.811 -1.769 3.695
O 1.811 -2.375 8.678
O 1.811 -3.206 11.545
O 1.811 -6.186 4.622

---

Entry 7:
8
Lattice="-2.503 2.503 9.820 2.503 -2.503 9.820 2.503 2.503 -9.820" Properties=species:S:1:pos:R:3 comment="LiLaTl2 PBE relaxed" n_ef_per_ev_fu=3.2 m_tot_mub_per_fu=0.00 dft_energy_ev_per_cell=-23.5 ef_ev_per_atom=-0.04 sg="I-42d, No. 122" pbc="T T T"
Li 0.000 0.000 0.000
Li 0.000 2.503 4.910
La 2.503 0.000 4.910
La 0.000 0.000 9.820
Tl 3.754 0.846 -2.455
Tl 0.846 1.251 2.455
Tl -1.251 1.656 7.365
Tl 1.656 1.251 12.275

---

Entry 8:
5
Lattice="3.846 0.000 0.000 0.000 3.846 0.000 0.000 0.000 3.926" Properties=species:S:1:pos:R:3 comment="NaZrNO2 PBE relaxed" n_ef_per_ev_fu=2.1 m_tot_mub_per_fu=2.00 formation_energy_uncorrected_kcal_per_mol_atoms=0.54 dft_energy_ev_per_cell=-28.0 sg="P4/mmm, No. 123" pbc="T T T"
Na 0.000 0.000 0.000
Zr 1.923 1.923 1.963
N 0.000 0.000 1.963
O 0.000 1.923 0.000
O 1.923 0.000 0.000